Below is a relaxed structure of CoPtIO2, with properties calculated at the PBE with a Hubbard U level.

Calculated values
- DOS(E_F) (states/eV/cell) = 2.1
- distance to the lowest polymorph of the same formula (meV per atom) = 0
- size of the total moment (μB/cell) = 1.7
- SG = P4/mmm, No. 123

Geometry as extended XYZ:
```
5
Lattice="3.7955 0.0000 0.0000 0.0000 3.7955 0.0000 0.0000 0.0000 8.3458" Properties=species:S:1:pos:R:3 pbc="T T T"
I 0.0000 0.0000 4.1729
Co 1.8977 1.8977 4.1729
O 0.0000 1.8977 0.0000
O 1.8977 0.0000 0.0000
Pt 0.0000 0.0000 0.0000
```